# 1
# NaBe3S | Alexandria via LeMat-Bulk | PBE | relaxed
data_NaBe3S
_cell_length_a 4.276
_cell_length_b 4.276
_cell_length_c 4.276
_cell_angle_alpha 90.00
_cell_angle_beta 90.00
_cell_angle_gamma 90.00
_symmetry_space_group_name_H-M 'P 1'
_symmetry_Int_Tables_number 1
loop_
_symmetry_equiv_pos_as_xyz
'x,y,z'
loop_
_atom_site_label
_atom_site_type_symbol
_atom_site_fract_x
_atom_site_fract_y
_atom_site_fract_z
Be1 Be 0.000 0.500 0.000
Be2 Be 0.500 0.000 0.000
Be3 Be 0.000 0.000 0.500
Na1 Na 0.500 0.500 0.500
S1 S 0.000 0.000 0.000
# * E_form (uncorrected): 80.0 kJ/mol of atoms
# * space-group type: No. 221

=====

# 2
# Na3Be2S4 | Alexandria via LeMat-Bulk | PBE | relaxed
data_Na3Be2S4
_cell_length_a 3.430
_cell_length_b 7.056
_cell_length_c 9.758
_cell_angle_alpha 128.49
_cell_angle_beta 90.00
_cell_angle_gamma 104.07
_symmetry_space_group_name_H-M 'P 1'
_symmetry_Int_Tables_number 1
loop_
_symmetry_equiv_pos_as_xyz
'x,y,z'
loop_
_atom_site_label
_atom_site_type_symbol
_atom_site_fract_x
_atom_site_fract_y
_atom_site_fract_z
Na1 Na 0.398 0.795 0.222
Na2 Na 0.000 0.000 0.000
Na3 Na 0.602 0.205 0.778
Be1 Be 0.294 0.588 0.637
Be2 Be 0.706 0.412 0.363
S1 S 0.709 0.419 0.153
S2 S 0.114 0.229 0.369
S3 S 0.886 0.771 0.631
S4 S 0.291 0.581 0.847
# * E_form (uncorrected): -91.0 kJ/mol of atoms
# * space-group type: No. 12

=====

# 3
# NaBeS | Alexandria via LeMat-Bulk | PBE | relaxed
data_NaBeS
_cell_length_a 4.474
_cell_length_b 4.059
_cell_length_c 7.195
_cell_angle_alpha 106.38
_cell_angle_beta 108.12
_cell_angle_gamma 90.00
_symmetry_space_group_name_H-M 'P 1'
_symmetry_Int_Tables_number 1
loop_
_symmetry_equiv_pos_as_xyz
'x,y,z'
loop_
_atom_site_label
_atom_site_type_symbol
_atom_site_fract_x
_atom_site_fract_y
_atom_site_fract_z
S1 S 0.129 0.629 0.257
S2 S 0.871 0.371 0.743
Be1 Be 0.258 0.500 0.000
Be2 Be 0.742 0.500 0.000
Na1 Na 0.347 0.847 0.694
Na2 Na 0.653 0.153 0.306
# * E_form (uncorrected): -63.0 kJ/mol of atoms
# * space-group type: No. 71

=====

Which value of E_form (uncorrected) does entry 1 give? 80.0 kJ/mol of atoms